Below is an optimized crystal structure of KRbSr2Hg, with properties calculated at the PBE level.

Values from the calculation:
Its polymorph energy (0 for the lowest one) is 0 meV/atom. Its spin magnetization is 0.0 μB per formula unit. As for the total energy: -6.18 eV per cell. The formation energy comes out at -0.09 eV/atom.

```
data_KRbSr2Hg
_space_group_name_H-M_alt 'P 4/m m m'
_space_group_IT_number 123
_space_group_name_Hall '-P 4 2'
_cell_length_a 6.450
_cell_length_b 6.450
_cell_length_c 6.991
_cell_angle_alpha 90.00
_cell_angle_beta 90.00
_cell_angle_gamma 90.00
loop_
_atom_site_label
_atom_site_type_symbol
_atom_site_fract_x
_atom_site_fract_y
_atom_site_fract_z
K1 K 0.000 0.000 0.000
Rb1 Rb 0.500 0.500 0.000
Sr1 Sr 0.000 0.500 0.500
Hg1 Hg 0.000 0.000 0.500
```